Entry 1:
4
Lattice="0.0000 3.3406 3.3406 3.3406 0.0000 3.3406 3.3406 3.3406 0.0000" Properties=species:S:1:pos:R:3 comment="Zr2InRe (meta-GGA SCAN, PBEsol geometry)" vol_a3_per_fu=74.6 n_ef_per_ev_atom=0.213 final_energy_ev_per_atom=-41.55 pbc="T T T"
Zr 0.0000 0.0000 0.0000
Zr 1.6703 1.6703 1.6703
In 5.0109 5.0109 5.0109
Re 3.3406 3.3406 3.3406

---

Entry 2:
4
Lattice="0.0000 3.3313 3.3313 3.3313 0.0000 3.3313 3.3313 3.3313 0.0000" Properties=species:S:1:pos:R:3 comment="ZrIn2Re (meta-GGA SCAN, PBEsol geometry)" vol_a3_per_fu=73.9 n_ef_per_ev_atom=0.436 final_energy_ev_per_atom=-41.97 e_above_lowest_polymorph_ev_per_fu=0.36 pbc="T T T"
Zr 0.0000 0.0000 0.0000
In 1.6657 1.6657 1.6657
In 4.9970 4.9970 4.9970
Re 3.3313 3.3313 3.3313

---

Entry 3:
4
Lattice="2.9717 0.0000 0.0000 0.0000 4.0089 0.0000 0.0000 0.0000 5.8082" Properties=species:S:1:pos:R:3 comment="ZrInRe2 (meta-GGA SCAN, PBEsol geometry)" vol_a3_per_fu=69.2 n_ef_per_ev_atom=0.538 final_energy_ev_per_atom=-51.47 pbc="T T T"
Zr 0.0000 0.0000 0.0000
In 1.4858 2.0044 1.6232
Re 0.0000 0.0000 3.1949
Re 1.4858 2.0044 4.3702

---

Entry 4:
4
Lattice="3.3265 0.0000 0.0000 0.0000 3.3265 0.0000 0.0000 0.0000 7.0313" Properties=species:S:1:pos:R:3 comment="Zr2InRe (meta-GGA SCAN, PBEsol geometry)" vol_a3_per_fu=77.8 n_ef_per_ev_atom=0.320 final_energy_ev_per_atom=-41.93 pbc="T T T"
Zr 0.0000 0.0000 1.5521
Zr 0.0000 0.0000 5.4793
In 1.6633 1.6633 3.5157
Re 1.6633 1.6633 0.0000

---

no.,density (Mg/m³)
1,10.8
2,11.4
3,13.9
4,10.3